Crystalline Pm2TlPdO6 at its relaxed geometry, computed with PBE. Values from VASP.

## Properties
- crystal system = monoclinic
- formation energy (no corrections) (kJ/mol of atoms) = -184.0
- raw total energy (eV per atom) = -6.59
- calculated volume (A^3/atom) = 14.00
- total moment (μB/atom) = 0.075

Cell and atoms, written as Quantum ESPRESSO input:
```
&SYSTEM
  ibrav = 0, nat = 20, ntyp = 4
/
ATOMIC_SPECIES
Pm 145.00 Pm.upf
Tl 204.38 Tl.upf
Pd 106.42 Pd.upf
O 16.00 O.upf
ATOMIC_POSITIONS crystal
Pm 0.024 0.921 0.258
Pm 0.524 0.579 0.758
Pm 0.976 0.079 0.742
Pm 0.476 0.421 0.242
Tl 0.500 0.000 0.000
Tl 0.000 0.500 0.500
Pd 0.500 0.000 0.500
Pd 0.000 0.500 0.000
O 0.306 0.672 0.056
O 0.806 0.828 0.556
O 0.694 0.328 0.944
O 0.194 0.172 0.444
O 0.316 0.690 0.422
O 0.816 0.810 0.922
O 0.684 0.310 0.578
O 0.184 0.190 0.078
O 0.860 0.564 0.233
O 0.360 0.936 0.733
O 0.140 0.436 0.767
O 0.640 0.064 0.267
CELL_PARAMETERS angstrom
5.602 0.000 0.017
0.000 6.167 0.000
0.074 0.000 8.106
```